No. 1
Computed, not measured: PaBi after structural relaxation at the PBE level of DFT.

Output
* formation energy from the elements: -0.02 eV per atom
* density: 11.5 Mg/m³
* DFT total energy: -6.709 eV/atom
* density of states at the Fermi level: 5.709 states/eV/cell

Cell and atoms, written as POSCAR:
```
PaBi
1.0
-1.028 3.905 1.930
-1.993 0.060 4.006
2.264 1.378 3.606
Pa Bi
1 1
Direct
0.000 0.000 0.000
0.500 0.500 0.500
```

=====

No. 2
Computed, not measured: PaBi4 after structural relaxation at the PBE level of DFT.

Output
* formation energy from the elements: 0.13 eV per atom
* density: 10.8 Mg/m³
* DFT total energy: -4.874 eV/atom
* density of states at the Fermi level: 10.440 states/eV/cell

Cell and atoms, written as POSCAR:
```
PaBi4
1.0
-0.931 -5.784 -0.059
3.945 -0.617 -1.760
3.210 -0.643 12.633
Pa Bi
2 8
Direct
0.000 0.000 0.000
0.500 0.500 0.500
0.001 0.611 0.193
0.501 0.889 0.307
0.999 0.389 0.807
0.499 0.111 0.693
0.000 0.779 0.590
0.500 0.721 0.910
0.000 0.221 0.410
0.500 0.279 0.090
```

=====

No. 3
Computed, not measured: Pa3Bi2 after structural relaxation at the PBE level of DFT.

Output
* formation energy from the elements: 0.06 eV per atom
* density: 12.8 Mg/m³
* DFT total energy: -7.190 eV/atom
* density of states at the Fermi level: 40.954 states/eV/cell

Cell and atoms, written as POSCAR:
```
Pa3Bi2
1.0
4.045 0.000 0.000
0.000 11.387 0.000
0.000 0.000 12.540
Pa Bi
12 8
Direct
0.250 0.594 0.569
0.250 0.906 0.069
0.750 0.406 0.431
0.750 0.094 0.931
0.750 0.067 0.647
0.750 0.433 0.147
0.250 0.933 0.353
0.250 0.567 0.853
0.250 0.200 0.732
0.250 0.300 0.232
0.750 0.800 0.268
0.750 0.700 0.768
0.250 0.184 0.473
0.250 0.316 0.973
0.750 0.816 0.527
0.750 0.684 0.027
0.750 0.421 0.693
0.750 0.079 0.193
0.250 0.579 0.307
0.250 0.921 0.807
```

=====

No. 4
Computed, not measured: Pa3Bi after structural relaxation at the PBE level of DFT.

Output
* formation energy from the elements: -0.04 eV per atom
* density: 14.6 Mg/m³
* DFT total energy: -8.132 eV/atom
* density of states at the Fermi level: 7.935 states/eV/cell

Cell and atoms, written as POSCAR:
```
Pa3Bi
1.0
4.669 0.000 0.000
0.000 4.669 0.000
-2.334 -2.334 4.694
Pa Bi
3 1
Direct
0.750 0.250 0.500
0.250 0.750 0.500
0.500 0.500 0.000
0.000 0.000 0.000
```

=====

No. 5
Computed, not measured: Pa2Bi3 after structural relaxation at the PBE level of DFT.

Output
* formation energy from the elements: 0.01 eV per atom
* density: 11.1 Mg/m³
* DFT total energy: -6.121 eV/atom
* density of states at the Fermi level: 6.886 states/eV/cell

Cell and atoms, written as POSCAR:
```
Pa2Bi3
1.0
-4.607 -2.509 1.434
4.622 -1.076 2.656
-1.275 4.696 4.122
Pa Bi
2 3
Direct
0.667 0.333 0.156
0.333 0.667 0.844
0.000 0.000 0.000
0.667 0.333 0.656
0.333 0.667 0.344
```

=====

No. 6
Computed, not measured: PaBi4 after structural relaxation at the PBE level of DFT.

Output
* formation energy from the elements: 0.62 eV per atom
* density: 8.3 Mg/m³
* DFT total energy: -4.386 eV/atom
* density of states at the Fermi level: 8.444 states/eV/cell

Cell and atoms, written as POSCAR:
```
PaBi4
1.0
5.979 0.000 0.000
0.000 5.979 0.000
0.000 0.000 5.979
Pa Bi
1 4
Direct
0.500 0.500 0.500
0.000 0.000 0.000
0.500 0.000 0.500
0.000 0.500 0.500
0.500 0.500 0.000
```